Model w:
First-principles (GGA-PBE) data for an optimized crystal structure of KLi2Fe, as listed in Alexandria.

Geometry as POSCAR:
```
KLi2Fe
1.0
-2.694 -5.722 -1.462
2.333 -3.716 -4.783
0.324 2.965 5.765
Fe K Li
1 1 2
Direct
0.465 0.465 0.000
0.741 0.241 0.500
0.022 0.022 0.000
0.272 0.772 0.500
```

Model x:
First-principles (GGA-PBE) data for an optimized crystal structure of KLi2Fe, as listed in Alexandria.

Geometry as POSCAR:
```
KLi2Fe
1.0
-4.369 1.389 2.584
-4.678 -0.291 -2.394
-3.477 -3.674 1.455
Fe K Li
1 1 2
Direct
0.500 0.500 0.500
0.750 0.750 0.750
0.000 0.000 0.000
0.250 0.250 0.250
```

Relative to the most stable structure, the computed energies are model w 0; model x 96, all in meV per atom.

Model w:
First-principles (GGA-PBE) data for an optimized crystal structure of KLi2Fe, as listed in Alexandria.

Geometry as POSCAR:
```
KLi2Fe
1.0
-2.003 -2.213 -0.209
4.149 -3.859 1.110
-1.061 0.440 5.495
Fe K Li
1 1 2
Direct
0.500 0.000 0.500
0.000 0.500 0.500
0.000 0.000 0.000
0.500 0.500 0.000
```

Model x:
First-principles (GGA-PBE) data for an optimized crystal structure of KLi2Fe, as listed in Alexandria.

Geometry as POSCAR:
```
KLi2Fe
1.0
-3.638 -0.591 10.032
-2.557 -3.505 9.767
-0.632 -1.197 10.602
Fe K Li
1 1 2
Direct
0.513 0.513 0.513
0.758 0.758 0.758
0.986 0.986 0.986
0.243 0.243 0.243
```

Relative to the most stable structure, the computed energies are model w 110; model x 0, all in meV per atom.

Model w:
First-principles (GGA-PBE) data for an optimized crystal structure of KMg2Fe, as listed in Alexandria.

Geometry as POSCAR:
```
KMg2Fe
1.0
3.508 0.000 0.000
0.000 3.508 0.000
0.000 0.000 8.696
Fe K Mg
1 1 2
Direct
0.000 0.000 0.409
0.500 0.500 0.719
0.000 0.000 0.078
0.500 0.500 0.294
```

Model x:
First-principles (GGA-PBE) data for an optimized crystal structure of KMg2Fe, as listed in Alexandria.

Geometry as POSCAR:
```
KMg2Fe
1.0
-4.598 0.151 0.241
-3.795 -0.232 -2.602
-0.743 -8.079 0.880
Fe K Mg
1 1 2
Direct
0.750 0.750 0.750
0.250 0.250 0.250
0.018 0.018 0.910
0.482 0.482 0.590
```

Model y:
First-principles (GGA-PBE) data for an optimized crystal structure of KMg2Fe, as listed in Alexandria.

Geometry as POSCAR:
```
KMg2Fe
1.0
5.756 0.000 0.000
0.000 5.756 0.000
2.878 2.878 9.005
Mg K Fe
4 2 2
Direct
0.869 0.125 0.250
0.881 0.625 0.250
0.375 0.131 0.750
0.875 0.119 0.750
0.500 0.500 0.000
0.250 0.750 0.500
0.000 0.000 0.000
0.750 0.250 0.500
```

Model z:
First-principles (GGA-PBE) data for an optimized crystal structure of KMg2Fe, as listed in Alexandria.

Geometry as POSCAR:
```
KMg2Fe
1.0
-2.604 -3.688 2.203
-4.291 1.040 2.395
-4.386 -1.487 -1.946
Mg K Fe
2 1 1
Direct
0.250 0.250 0.250
0.750 0.750 0.750
0.000 0.000 0.000
0.500 0.500 0.500
```

Relative to the most stable structure, the computed energies are model w 0; model x 6; model y 285; model z 407, all in meV per atom.